1.
Computed, not measured: a relaxed Tb6PmSm2Er crystal at the PBE-GGA level of DFT.

abc: 9.6735 8.8098 8.8098
angles: 117.98 94.23 94.23
Fractional positions:
Tb 0.0566 0.1234 0.7461
Tb 0.4434 0.2539 0.8766
Tb 0.9434 0.8766 0.2539
Tb 0.5566 0.7461 0.1234
Tb 0.3142 0.9816 0.4295
Tb 0.1858 0.5705 0.0184
Tb 0.6858 0.0184 0.5705
Tb 0.8142 0.4295 0.9816
Tb 0.1197 0.7069 0.4939
Tb 0.3803 0.5061 0.2931
Tb 0.8803 0.2931 0.5061
Tb 0.6197 0.4939 0.7069
Pm 0.2500 0.9793 0.0207
Pm 0.7500 0.0207 0.9793
Sm 0.4565 0.8028 0.7002
Sm 0.0435 0.2998 0.1972
Sm 0.5435 0.1972 0.2998
Sm 0.9565 0.7002 0.8028
Er 0.2500 0.4082 0.5918
Er 0.7500 0.5918 0.4082

## Properties
The magnetic moment comes out at 0.0 μB/f.u. As for the crystal system: monoclinic. For the energy of formation, the calculation gives 116 meV/atom.


2.
Computed, not measured: a relaxed Pm3SmEr3Te8 crystal at the PBE-GGA level of DFT.

abc: 8.7467 8.7467 8.7685
angles: 119.92 90.00 120.00
Fractional positions:
Pm 0.0000 0.0000 0.0000
Pm 0.0000 0.5000 0.0000
Pm 0.5000 0.5000 0.0000
Sm 0.0000 0.0000 0.5000
Er 0.5000 0.0000 0.5000
Er 0.5000 0.5000 0.5000
Er 0.0000 0.5000 0.5000
Te 0.2539 0.5078 0.2617
Te 0.7461 0.4922 0.7383
Te 0.7424 0.4848 0.2504
Te 0.2576 0.5152 0.7496
Te 0.7424 0.0080 0.2504
Te 0.2576 0.9920 0.7496
Te 0.2656 0.0080 0.2504
Te 0.7344 0.9920 0.7496

## Properties
The magnetic moment comes out at 0.0 μB/f.u. As for the crystal system: trigonal. The energy is -5.243 eV/atom.


3.
Computed, not measured: a relaxed Pm3SmEr2Te6 crystal at the PBE-GGA level of DFT.

abc: 4.3749 8.9060 9.8931
angles: 103.57 102.77 90.00
Fractional positions:
Pm 0.5000 0.5000 0.0000
Pm 0.8382 0.1680 0.6763
Pm 0.1618 0.8320 0.3237
Sm 0.5000 0.0000 0.0000
Er 0.8351 0.6701 0.6702
Er 0.1649 0.3299 0.3298
Te 0.3314 0.9076 0.6627
Te 0.6704 0.5761 0.3408
Te 0.6686 0.0924 0.3373
Te 0.0045 0.2512 0.0091
Te 0.9955 0.7488 0.9909
Te 0.3296 0.4239 0.6592

## Properties
The magnetic moment comes out at 0.0 μB/f.u. As for the crystal system: monoclinic. The energy is -5.254 eV/atom.


4.
Computed, not measured: a relaxed PmSm2Er3Te6 crystal at the PBE-GGA level of DFT.

abc: 4.3409 8.8666 9.8579
angles: 104.47 102.72 90.00
Fractional positions:
Pm 0.5000 0.0000 0.0000
Sm 0.8338 0.6683 0.6675
Sm 0.1662 0.3317 0.3325
Er 0.5000 0.5000 0.0000
Er 0.8341 0.1678 0.6681
Er 0.1659 0.8322 0.3319
Te 0.3301 0.9235 0.6602
Te 0.6644 0.5886 0.3288
Te 0.6699 0.0765 0.3398
Te 0.9977 0.2575 0.9954
Te 0.0023 0.7425 0.0046
Te 0.3356 0.4114 0.6712

## Properties
The magnetic moment comes out at 0.0 μB/f.u. As for the crystal system: monoclinic. The energy is -5.200 eV/atom.


5.
Computed, not measured: a relaxed PmSmEr2Te6 crystal at the PBE-GGA level of DFT.

abc: 7.7642 7.7642 8.3441
angles: 62.28 62.28 60.00
Fractional positions:
Pm 0.8196 0.8196 0.5413
Sm 0.3203 0.3203 0.0391
Er 0.5083 0.5083 0.4750
Er 0.0078 0.0078 0.9766
Te 0.6131 0.2370 0.2472
Te 0.2370 0.9028 0.2472
Te 0.9028 0.6131 0.2472
Te 0.4002 0.7370 0.7472
Te 0.7370 0.1156 0.7472
Te 0.1156 0.4002 0.7472

## Properties
The magnetic moment comes out at 0.0 μB/f.u. As for the crystal system: trigonal. The energy is -5.105 eV/atom.


6.
Computed, not measured: a relaxed PmSm2ErTe5 crystal at the PBE-GGA level of DFT.

abc: 5.4984 5.4984 11.7291
angles: 90.00 90.00 90.00
Last column: magnetic moment on the atom in μB.
Fractional positions:
Pm 0.0000 0.0000 0.0000  0.01
Sm 0.5000 0.5000 0.3453  0.15
Sm 0.5000 0.5000 0.6547  0.15
Er 0.0000 0.0000 0.5000  0.02
Te 0.0000 0.5000 0.5000  0.00
Te 0.5000 0.0000 0.5000  0.00
Te 0.0000 0.0000 0.7501  0.00
Te 0.0000 0.0000 0.2499  0.00
Te 0.5000 0.5000 0.0000  0.01

## Properties
The magnetic moment comes out at 0.6 μB/f.u. As for the crystal system: tetragonal. The energy is -4.617 eV/atom.


7.
Computed, not measured: a relaxed PmSm3Er2Te6 crystal at the PBE-GGA level of DFT.

abc: 4.3740 8.8798 9.8642
angles: 103.12 102.81 90.00
Fractional positions:
Pm 0.5000 0.0000 0.0000
Sm 0.5000 0.5000 0.0000
Sm 0.8390 0.1674 0.6779
Sm 0.1610 0.8326 0.3221
Er 0.8356 0.6703 0.6711
Er 0.1644 0.3297 0.3289
Te 0.3301 0.9080 0.6603
Te 0.6702 0.5776 0.3404
Te 0.6699 0.0920 0.3397
Te 0.0043 0.2536 0.0086
Te 0.9957 0.7464 0.9914
Te 0.3298 0.4224 0.6596

## Properties
The magnetic moment comes out at 0.0 μB/f.u. As for the crystal system: monoclinic. The energy is -5.239 eV/atom.


8.
Computed, not measured: a relaxed PmSm3Er3Te8 crystal at the PBE-GGA level of DFT.

abc: 8.7377 8.7380 8.7395
angles: 120.00 90.00 120.00
Fractional positions:
Pm 0.0000 0.0000 0.5000
Sm 0.0000 0.0000 0.0000
Sm 0.0000 0.5000 0.0000
Sm 0.5000 0.5000 0.0000
Er 0.5000 0.0000 0.5000
Er 0.5000 0.5000 0.5000
Er 0.0000 0.5000 0.5000
Te 0.2534 0.5067 0.2601
Te 0.7466 0.4933 0.7399
Te 0.7410 0.4820 0.2478
Te 0.2590 0.5180 0.7522
Te 0.7410 0.0068 0.2478
Te 0.2590 0.9932 0.7522
Te 0.2658 0.0068 0.2478
Te 0.7342 0.9932 0.7522

## Properties
The magnetic moment comes out at 0.0 μB/f.u. As for the crystal system: trigonal. The energy is -5.232 eV/atom.